First-principles (PBE) data for a relaxed SrTeIr2 crystal, as listed in Alexandria via LeMat-Bulk.

The structure in CIF format:
```
data_SrTeIr2
_chemical_formula_sum 'Sr1 Te1 Ir2'
_symmetry_space_group_name_H-M 'P 1'
_symmetry_Int_Tables_number 1
_symmetry_space_group_name_Hall 'P 1'
_cell_length_a 5.870
_cell_length_b 5.870
_cell_length_c 3.043
_cell_angle_alpha 75.11
_cell_angle_beta 75.11
_cell_angle_gamma 117.26
loop_
_atom_site_label
_atom_site_type_symbol
_atom_site_fract_x
_atom_site_fract_y
_atom_site_fract_z
_atom_site_occupancy
Ir1 Ir 0.000 0.000 0.000 1
Ir2 Ir 0.500 0.500 0.000 1
Sr1 Sr 0.500 0.000 0.500 1
Te1 Te 0.000 0.500 0.500 1
```

Calculated values
total magnetization	0.0	μB/f.u.
DOS(E_F)	3.87	states/eV per cell
symmetry	C2/m (12)
total energy	-5.269	eV/atom
formation energy from raw total energies	0.368	eV/atom

***

First-principles (PBE) data for a relaxed TcIrO2F crystal, as listed in Alexandria via LeMat-Bulk.

The structure in CIF format:
```
data_TcIrO2F
_chemical_formula_sum 'Tc1 Ir1 O2 F1'
_symmetry_space_group_name_H-M 'P 1'
_symmetry_Int_Tables_number 1
_symmetry_space_group_name_Hall 'P 1'
_cell_length_a 3.815
_cell_length_b 3.815
_cell_length_c 4.415
_cell_angle_alpha 90.00
_cell_angle_beta 90.00
_cell_angle_gamma 90.00
loop_
_atom_site_label
_atom_site_type_symbol
_atom_site_fract_x
_atom_site_fract_y
_atom_site_fract_z
_atom_site_occupancy
Ir1 Ir 0.500 0.500 0.500 1
Tc1 Tc 0.000 0.000 0.000 1
O1 O 0.000 0.500 0.000 1
O2 O 0.500 0.000 0.000 1
F1 F 0.000 0.000 0.500 1
```

Calculated values
total magnetization	1.9	μB/f.u.
DOS(E_F)	5.41	states/eV per cell
symmetry	P4/mmm (123)
total energy	-6.194	eV/atom
formation energy from raw total energies	0.009	eV/atom

***

total magnetization of number 1 (SrTeIr2)? 0.0 μB/f.u.